Density functional theory data (PBE) for a relaxed structure of LiMg7Cd4.

Values from the calculation:
* formation energy: 35 kJ/mol of formula units

abc: 13.851 5.034 10.228
angles: 90.00 127.56 90.00
Space group C2/m (No. 12)
One atom of each set of equivalent atoms:
Li 0.000 0.000 0.000 [2 per cell]
Mg 0.000 0.500 0.000 [2 per cell]
Mg 0.067 0.000 0.347 [4 per cell]
Mg 0.157 0.500 0.601 [4 per cell]
Mg 0.217 0.000 0.865 [4 per cell]
Cd 0.068 0.500 0.787 [4 per cell]
Cd 0.197 0.500 0.341 [4 per cell]